# 1
DFT (PBE) results for SrLiZr2 after structural relaxation.

Results
Polymorph energy (0 for the lowest one) = 0.151 eV per atom
E = -4.766 eV per atom

a b c (Å): 10.466 3.269 6.481
angles (deg): 90.00 99.85 90.00
Space group Cm (No. 8)
Symmetry-distinct sites (fractional):
Sr (0.000, 0.000, 0.000) [2 per cell]
Li (0.257, 0.500, 0.250) [2 per cell]
Zr (0.230, 0.000, 0.643) [2 per cell]
Zr (0.492, 0.000, 0.516) [2 per cell]

***

# 2
DFT (PBE) results for SiPt2Pb after structural relaxation.

Results
E = -5.643 eV per atom
Energy relative to the elements, uncorrected = -340 meV per atom

a b c (Å): 3.8538 3.8538 18.7685
angles (deg): 90.00 90.00 120.00
Space group R3m (No. 160, hexagonal axes)
Symmetry-distinct sites (fractional):
Si (0.0000, 0.0000, 0.0000) [3 per cell]
Pt (0.0000, 0.0000, 0.3842) [3 per cell]
Pt (0.0000, 0.0000, 0.6114) [3 per cell]
Pb (0.0000, 0.0000, 0.8300) [3 per cell]

***

# 3
DFT (PBE) results for ZrTeI3 after structural relaxation.

Results
E = -2.520 eV per atom
Energy relative to the elements, uncorrected = 748 meV per atom

a b c (Å): 6.036 6.036 6.036
angles (deg): 90.00 90.00 90.00
Space group Pm-3m (No. 221)
Symmetry-distinct sites (fractional):
Zr (0.000, 0.000, 0.000) [1 per cell]
Te (0.500, 0.500, 0.500) [1 per cell]
I (0.000, 0.500, 0.500) [3 per cell]

***

# 4
DFT (PBE) results for K2ZnRe after structural relaxation.

Results
E = -2.769 eV per atom

a b c (Å): 2.770 5.711 5.766
angles (deg): 90.00 90.00 90.00
Space group Pmmm (No. 47)
Symmetry-distinct sites (fractional):
K (0.000, 0.000, 0.248) [2 per cell]
Zn (0.500, 0.500, 0.500) [1 per cell]
Re (0.500, 0.500, 0.000) [1 per cell]

***

# 5
DFT (PBE) results for Tm3MgFe after structural relaxation.

Results
Polymorph energy (0 for the lowest one) = 0.082 eV per atom
E = -4.637 eV per atom

a b c (Å): 5.127 5.127 5.127
angles (deg): 90.00 90.00 90.00
Space group Pm-3m (No. 221)
Symmetry-distinct sites (fractional):
Tm (0.000, 0.000, 0.500) [3 per cell]
Mg (0.500, 0.500, 0.500) [1 per cell]
Fe (0.000, 0.000, 0.000) [1 per cell]

***

# 6
DFT (PBE) results for TaMoC2 after structural relaxation.

Results
Polymorph energy (0 for the lowest one) = 0.288 eV per atom
E = -10.221 eV per atom

a b c (Å): 3.045 3.082 10.088
angles (deg): 90.00 90.00 90.00
Space group Amm2 (No. 38)
Symmetry-distinct sites (fractional):
Ta (0.000, 0.000, 0.000) [2 per cell]
Mo (0.500, 0.000, 0.708) [2 per cell]
C (0.000, 0.000, 0.219) [2 per cell]
C (0.500, 0.000, 0.491) [2 per cell]

***

no.,N(E_F) (states/eV per atom)
1,1.19
2,0.50
3,2.58
4,0.77
5,0.59
6,0.58